Entry 1:
The following is a PBE calculation of crystalline Ca2NiTe4 at its relaxed geometry, from Alexandria via LeMat-Bulk.

Lattice parameters (Å, degrees): 5.256 5.256 15.271 90.00 90.00 90.00
Space group I4/mmm (No. 139)
Unique sites:
Ca: 0.000 0.000 0.130 [4 per cell]
Ni: 0.000 0.000 0.500 [2 per cell]
Te: 0.000 0.000 0.332 [4 per cell]
Te: 0.000 0.500 0.000 [4 per cell]

**Size of the total moment**: 0.00 μB per cell
**Calculated density**: 5.11 g/cm³

Entry 2:
The following is a PBE calculation of crystalline CaNi2Te2 at its relaxed geometry, from Alexandria via LeMat-Bulk.

Lattice parameters (Å, degrees): 4.919 4.919 8.785 90.00 90.00 90.00
Space group I4/mmm (No. 139)
Unique sites:
Ca: 0.000 0.000 0.000 [2 per cell]
Ni: 0.000 0.000 0.354 [4 per cell]
Te: 0.000 0.500 0.250 [4 per cell]

**Offset from the most stable computed form**: 3.076 kcal/mol of atoms
**Size of the total moment**: 0.00 μB per cell
**Calculated density**: 6.45 g/cm³

Entry 3:
The following is a PBE calculation of crystalline CaNiTe2 at its relaxed geometry, from Alexandria via LeMat-Bulk.

Lattice parameters (Å, degrees): 5.022 5.022 3.728 90.00 90.00 90.00
Space group P4/mmm (No. 123)
Unique sites:
Ca: 0.000 0.000 0.000 [1 per cell]
Ni: 0.500 0.500 0.000 [1 per cell]
Te: 0.000 0.500 0.500 [2 per cell]

**Size of the total moment**: 0.00 μB per cell
**Calculated density**: 6.25 g/cm³

Entry 4:
The following is a PBE calculation of crystalline CaNiTe at its relaxed geometry, from Alexandria via LeMat-Bulk.

Lattice parameters (Å, degrees): 8.954 4.199 7.712 90.00 90.00 90.00
Space group Pnma (No. 62)
Unique sites:
Ca: 0.230 0.250 0.076 [4 per cell]
Ni: 0.042 0.250 0.422 [4 per cell]
Te: 0.000 0.250 0.755 [4 per cell]

**Size of the total moment**: 0.00 μB per cell
**Calculated density**: 5.19 g/cm³

Entry 5:
The following is a PBE calculation of crystalline CaNiTe at its relaxed geometry, from Alexandria via LeMat-Bulk.

Lattice parameters (Å, degrees): 4.3660 4.3660 8.7536 90.00 90.00 120.00
Space group P-3m1 (No. 164)
Unique sites:
Ca: 0.3333 0.6667 0.2165 [2 per cell]
Ni: 0.3333 0.6667 0.5452 [2 per cell]
Te: 0.0000 0.0000 0.0000 [1 per cell]
Te: 0.0000 0.0000 0.5000 [1 per cell]

**Size of the total moment**: 0.00 μB per cell
**Calculated density**: 5.20 g/cm³

Entry 6:
The following is a PBE calculation of crystalline CaNiTe at its relaxed geometry, from Alexandria via LeMat-Bulk.

Lattice parameters (Å, degrees): 3.884 9.682 7.275 90.00 90.00 90.00
Space group Cmcm (No. 63)
Unique sites:
Ca: 0.000 0.219 0.250 [4 per cell]
Ni: 0.000 0.063 0.750 [4 per cell]
Te: 0.000 0.500 0.000 [4 per cell]

**Size of the total moment**: 0.00 μB per cell
**Calculated density**: 5.50 g/cm³

Entry 7:
The following is a PBE calculation of crystalline CaNiTe at its relaxed geometry, from Alexandria via LeMat-Bulk.

Lattice parameters (Å, degrees): 9.379 4.262 7.493 90.00 106.15 90.00
Space group C2/m (No. 12)
Unique sites:
Ca: 0.000 0.000 0.000 [2 per cell]
Ca: 0.000 0.500 0.500 [2 per cell]
Ni: 0.205 0.000 0.403 [4 per cell]
Te: 0.237 0.500 0.233 [4 per cell]

**Size of the total moment**: 0.00 μB per cell
**Calculated density**: 5.23 g/cm³

Entry 8:
The following is a PBE calculation of crystalline CaNiTe2 at its relaxed geometry, from Alexandria via LeMat-Bulk.

Lattice parameters (Å, degrees): 7.309 7.309 7.309 90.00 90.00 90.00
Space group Fm-3m (No. 225)
Unique sites:
Ca: 0.000 0.000 0.000 [4 per cell]
Ni: 0.000 0.000 0.500 [4 per cell]
Te: 0.250 0.250 0.250 [8 per cell]

**Size of the total moment**: 4.77 μB per cell
**Calculated density**: 6.02 g/cm³

Entry 9:
The following is a PBE calculation of crystalline CaNiTe2 at its relaxed geometry, from Alexandria via LeMat-Bulk.

Lattice parameters (Å, degrees): 3.593 3.593 7.433 90.00 90.00 90.00
Space group P4/mmm (No. 123)
Unique sites:
Ca: 0.000 0.000 0.000 [1 per cell]
Ni: 0.000 0.000 0.500 [1 per cell]
Te: 0.500 0.500 0.281 [2 per cell]

**Size of the total moment**: 0.29 μB per cell
**Calculated density**: 6.13 g/cm³

Entry 10:
The following is a PBE calculation of crystalline Ca2Ni2Te at its relaxed geometry, from Alexandria via LeMat-Bulk.

Lattice parameters (Å, degrees): 7.106 7.106 4.177 90.00 90.00 90.00
Space group P4/mbm (No. 127)
Unique sites:
Ca: 0.178 0.322 0.000 [4 per cell]
Ni: 0.117 0.617 0.500 [4 per cell]
Te: 0.000 0.000 0.500 [2 per cell]

**Size of the total moment**: 0.51 μB per cell
**Calculated density**: 5.12 g/cm³

Entry 11:
The following is a PBE calculation of crystalline CaNiTe2 at its relaxed geometry, from Alexandria via LeMat-Bulk.

Lattice parameters (Å, degrees): 3.653 3.653 8.344 90.00 90.00 90.00
Space group P4mm (No. 99)
Unique sites:
Ca: 0.000 0.000 0.000 [1 per cell]
Ni: 0.500 0.500 0.297 [1 per cell]
Te: 0.000 0.000 0.375 [1 per cell]
Te: 0.500 0.500 0.797 [1 per cell]

**Size of the total moment**: 0.00 μB per cell
**Calculated density**: 5.28 g/cm³

Entry 12:
The following is a PBE calculation of crystalline CaNiTe at its relaxed geometry, from Alexandria via LeMat-Bulk.

Lattice parameters (Å, degrees): 4.3722 4.3722 26.2668 90.00 90.00 120.00
Space group R3m (No. 160, hexagonal axes)
Unique sites:
Ca: 0.0000 0.0000 0.0000 [3 per cell]
Ca: 0.0000 0.0000 0.1474 [3 per cell]
Ni: 0.0000 0.0000 0.2548 [3 per cell]
Ni: 0.0000 0.0000 0.8917 [3 per cell]
Te: 0.0000 0.0000 0.4063 [3 per cell]
Te: 0.0000 0.0000 0.5764 [3 per cell]

**Size of the total moment**: 0.00 μB per cell
**Calculated density**: 5.19 g/cm³

Total DFT energy (no corrections) for the records above, in order: -3.861 -4.350 -3.868 -4.381 -4.402 -4.123 -4.364 -3.760 -3.747 -4.163 -3.932 -4.394 eV per atom
Calculated volume for the records above, in order: 421.9 212.6 94.0 290.0 144.5 273.6 287.7 390.4 95.9 210.9 111.4 434.8 Å³ per cell
Uncorrected formation energy for the records above, in order: -0.6683 -0.3804 -0.3518 -0.7392 -0.7605 -0.4813 -0.7221 -0.2436 -0.2303 -0.4219 -0.4158 -0.7520 eV per atom